First-principles (PBE-GGA) data for an optimized crystal structure of CuRhW2, as listed in Alexandria.

Summary:
Its energy above the most stable polymorph in this dataset is 0.075 eV per atom. The formation energy is 0.66 eV/f.u. The calculation puts the size of the total moment at 0.000 μB/atom. Its final energy is -9.175 eV/atom.

abc: 3.784 3.784 8.185
angles: 90.00 90.00 90.00
Space group I4/mmm (No. 139)
Inequivalent atoms, fractional coordinates:
Cu  0.000  0.000  0.000
Rh  0.000  0.000  0.500
W  0.000  0.500  0.250